[1]
TlMo3Br7 | PBE | optimized geometry

Cell lengths 14.176, 14.187, 14.317 Å; angles 90.00, 90.00, 90.00 degrees
Space group P222 (No. 16)
Symmetry-distinct sites (fractional):
Tl 0.000 0.000 0.000 (multiplicity 1)
Tl 0.000 0.000 0.500 (multiplicity 1)
Tl 0.246 0.256 0.250 (multiplicity 4)
Tl 0.500 0.000 0.500 (multiplicity 1)
Tl 0.500 0.500 0.000 (multiplicity 1)
Mo 0.124 0.293 0.781 (multiplicity 4)
Mo 0.206 0.222 0.630 (multiplicity 4)
Mo 0.218 0.132 0.792 (multiplicity 4)
Mo 0.276 0.376 0.709 (multiplicity 4)
Mo 0.289 0.285 0.870 (multiplicity 4)
Mo 0.369 0.213 0.718 (multiplicity 4)
Br 0.047 0.345 0.176 (multiplicity 4)
Br 0.056 0.140 0.703 (multiplicity 4)
Br 0.114 0.383 0.620 (multiplicity 4)
Br 0.138 0.206 0.942 (multiplicity 4)
Br 0.151 0.175 0.459 (multiplicity 4)
Br 0.174 0.040 0.151 (multiplicity 4)
Br 0.195 0.443 0.860 (multiplicity 4)
Br 0.296 0.060 0.641 (multiplicity 4)
Br 0.318 0.452 0.344 (multiplicity 4)
Br 0.346 0.329 0.041 (multiplicity 4)
Br 0.355 0.305 0.560 (multiplicity 4)
Br 0.381 0.124 0.879 (multiplicity 4)
Br 0.439 0.365 0.795 (multiplicity 4)
Br 0.460 0.156 0.330 (multiplicity 4)

## Properties
DFT total energy: -4.939 eV/atom
ΔE_f (raw): -7.76 eV per formula unit

=====

[2]
KCoPt | PBE | optimized geometry

Cell lengths 3.395, 3.395, 11.720 Å; angles 90.00, 90.00, 90.00 degrees
Space group I4mm (No. 107)
Symmetry-distinct sites (fractional):
K 0.000 0.000 0.000 (multiplicity 2)
Co 0.000 0.000 0.732 (multiplicity 2)
Pt 0.000 0.000 0.278 (multiplicity 2)

## Properties
DFT total energy: -4.430 eV/atom
Relative energy among the computed polymorphs: 2.331 kcal/mol of atoms
ΔE_f: 318 meV/atom

=====

[3]
NaLuTlBi | PBE | optimized geometry

Cell lengths 7.652, 7.652, 7.652 Å; angles 90.00, 90.00, 90.00 degrees
Space group F-43m (No. 216)
Symmetry-distinct sites (fractional):
Na 0.000 0.000 0.000 (multiplicity 4)
Lu 0.000 0.000 0.500 (multiplicity 4)
Tl 0.250 0.250 0.750 (multiplicity 4)
Bi 0.250 0.250 0.250 (multiplicity 4)

## Properties
DFT total energy: -3.264 eV/atom
ΔE_f: -242 meV/atom

=====

[4]
TaTi5Ga3 | PBE | optimized geometry

Cell lengths 7.8699, 7.8699, 5.4570 Å; angles 90.00, 90.00, 120.00 degrees
Space group P6_3/mcm (No. 193)
Symmetry-distinct sites (fractional):
Ta 0.0000 0.0000 0.0000 (multiplicity 2)
Ti 0.0000 0.3322 0.2500 (multiplicity 6)
Ti 0.3333 0.6667 0.0000 (multiplicity 4)
Ga 0.0000 0.3354 0.7500 (multiplicity 6)

## Properties
DFT total energy: -7.100 eV/atom
Relative energy among the computed polymorphs: 0.000 kcal/mol of atoms
ΔE_f: -388 meV/atom

=====

[5]
BeVZnNi | PBE | optimized geometry

Cell lengths 5.693, 5.693, 5.693 Å; angles 90.00, 90.00, 90.00 degrees
Space group F-43m (No. 216)
Symmetry-distinct sites (fractional):
Be 0.000 0.000 0.000 (multiplicity 4)
V 0.250 0.250 0.250 (multiplicity 4)
Zn 0.250 0.250 0.750 (multiplicity 4)
Ni 0.000 0.000 0.500 (multiplicity 4)

## Properties
DFT total energy: -5.040 eV/atom
ΔE_f: -65 meV/atom

=====

[6]
CrGaPd2 | PBE | optimized geometry

Cell lengths 4.050, 4.050, 3.673 Å; angles 90.00, 90.00, 90.00 degrees
Space group P4/mmm (No. 123)
Symmetry-distinct sites (fractional):
Cr 0.000 0.000 0.000 (multiplicity 1)
Ga 0.500 0.500 0.000 (multiplicity 1)
Pd 0.000 0.500 0.500 (multiplicity 2)

## Properties
DFT total energy: -6.063 eV/atom
ΔE_f: -304 meV/atom

=====

[7]
MnVFeMo | PBE | optimized geometry

Cell lengths 5.894, 5.894, 5.894 Å; angles 90.00, 90.00, 90.00 degrees
Space group F-43m (No. 216)
Symmetry-distinct sites (fractional):
Mn 0.000 0.000 0.000 (multiplicity 4)
V 0.250 0.250 0.750 (multiplicity 4)
Fe 0.000 0.000 0.500 (multiplicity 4)
Mo 0.250 0.250 0.250 (multiplicity 4)

## Properties
DFT total energy: -9.391 eV/atom
ΔE_f: 4 meV/atom

=====

[8]
LaTm8Sc2 | PBE | optimized geometry

Cell lengths 5.288, 8.077, 15.596 Å; angles 90.00, 90.00, 90.00 degrees
Space group Immm (No. 71)
Symmetry-distinct sites (fractional):
La 0.000 0.000 0.000 (multiplicity 2)
Tm 0.000 0.200 0.500 (multiplicity 4)
Tm 0.000 0.294 0.145 (multiplicity 8)
Tm 0.000 0.500 0.335 (multiplicity 4)
Sc 0.000 0.000 0.300 (multiplicity 4)

## Properties
DFT total energy: -4.714 eV/atom
Relative energy among the computed polymorphs: 0.267 kcal/mol of atoms
ΔE_f: 137 meV/atom

=====

[9]
VIr4Os3 | PBE | optimized geometry

Cell lengths 21.952, 2.726, 4.311 Å; angles 90.00, 98.98, 90.00 degrees
Space group C2/m (No. 12)
Symmetry-distinct sites (fractional):
V 0.000 0.000 0.000 (multiplicity 2)
Ir 0.101 0.000 0.722 (multiplicity 4)
Ir 0.173 0.000 0.268 (multiplicity 4)
Os 0.000 0.500 0.500 (multiplicity 2)
Os 0.209 0.500 0.797 (multiplicity 4)

## Properties
DFT total energy: -9.438 eV/atom
ΔE_f: 343 meV/atom

=====

[10]
Pu5GaAu4 | PBE | optimized geometry

Cell lengths 3.547, 3.547, 18.985 Å; angles 90.00, 90.00, 90.00 degrees
Space group P4/mmm (No. 123)
Symmetry-distinct sites (fractional):
Pu 0.000 0.000 0.000 (multiplicity 1)
Pu 0.000 0.000 0.201 (multiplicity 2)
Pu 0.000 0.000 0.404 (multiplicity 2)
Ga 0.500 0.500 0.500 (multiplicity 1)
Au 0.500 0.500 0.100 (multiplicity 2)
Au 0.500 0.500 0.302 (multiplicity 2)

## Properties
DFT total energy: -9.144 eV/atom
ΔE_f: -364 meV/atom

=====

[11]
KNb2Au | PBE | optimized geometry

Cell lengths 6.803, 6.803, 6.803 Å; angles 90.00, 90.00, 90.00 degrees
Space group Fm-3m (No. 225)
Symmetry-distinct sites (fractional):
K 0.000 0.000 0.000 (multiplicity 4)
Nb 0.250 0.250 0.250 (multiplicity 8)
Au 0.000 0.000 0.500 (multiplicity 4)

## Properties
DFT total energy: -4.963 eV/atom
Relative energy among the computed polymorphs: 4.833 kcal/mol of atoms
ΔE_f: 1166 meV/atom

=====

[12]
PuCd3In3 | PBE | optimized geometry

Cell lengths 7.893, 7.893, 7.893 Å; angles 90.00, 90.00, 90.00 degrees
Space group Pm-3n (No. 223)
Symmetry-distinct sites (fractional):
Pu 0.000 0.000 0.000 (multiplicity 2)
Cd 0.000 0.250 0.500 (multiplicity 6)
In 0.000 0.500 0.250 (multiplicity 6)

## Properties
DFT total energy: -3.152 eV/atom
ΔE_f: 461 meV/atom